(1)
A plane-wave DFT calculation with SCAN was carried out for a PBEsol-optimized structure of LaNiHgPb2.

Lattice parameters (Å, degrees): 5.0459 5.0459 4.9588 90.00 90.00 90.00
Last column: nearest neighbours and their distance in Å.
Sites, in units of the cell vectors:
La 0.0000 0.0000 0.0000  8 Pb 3.54, 4 Hg 3.57
Ni 0.5000 0.5000 0.5000  2 Hg 2.48, 4 Pb 2.52
Hg 0.5000 0.5000 0.0000  2 Ni 2.48
Pb 0.0000 0.5000 0.5000  2 Ni 2.52
Pb 0.5000 0.0000 0.5000  2 Ni 2.52

Results
size of the total moment: 0.000 μB/cell
V: 126.3 Å³ per cell
energy relative to the elements: -0.25 eV per atom
N(E_F): 3.26 states/eV per cell

=====

(2)
A plane-wave DFT calculation with SCAN was carried out for a PBEsol-optimized structure of La2HgO2.

Lattice parameters (Å, degrees): 7.0416 7.0416 7.0416 146.08 146.08 48.73
Last column: nearest neighbours and their distance in Å.
Sites, in units of the cell vectors:
La 0.1589 0.1589 0.0000  4 O 2.36
La 0.8411 0.8411 0.0000  4 O 2.36
Hg 0.5000 0.5000 0.0000  8 La 3.55, 8 O 3.81
O 0.2500 0.7500 0.5000  4 La 2.36
O 0.7500 0.2500 0.5000  4 La 2.36

Results
size of the total moment: 0.000 μB/cell
V: 108.3 Å³ per cell
formation energy without anion corrections: -2.76 eV per atom
N(E_F): 2.44 states/eV per cell

=====

(3)
A plane-wave DFT calculation with SCAN was carried out for a PBEsol-optimized structure of LaHgP2O.

Lattice parameters (Å, degrees): 4.8833 4.8833 4.2835 90.00 90.00 90.00
Last column: nearest neighbours and their distance in Å.
Sites, in units of the cell vectors:
La 0.0000 0.0000 0.0000  8 P 3.25, 4 O 3.45
Hg 0.5000 0.5000 0.5000  2 O 2.14
P 0.0000 0.5000 0.5000  2 Hg 2.44
P 0.5000 0.0000 0.5000  2 Hg 2.44
O 0.5000 0.5000 0.0000  2 Hg 2.14

Results
size of the total moment: 0.000 μB/cell
V: 102.1 Å³ per cell
formation energy without anion corrections: -0.21 eV per atom
N(E_F): 4.28 states/eV per cell

=====

(4)
A plane-wave DFT calculation with SCAN was carried out for a PBEsol-optimized structure of LaHgOs3.

Lattice parameters (Å, degrees): 4.8173 4.8173 4.8173 90.00 90.00 90.00
Last column: nearest neighbours and their distance in Å.
Sites, in units of the cell vectors:
La 0.0000 0.0000 0.0000  6 Os 2.41
Hg 0.5000 0.5000 0.5000  12 Os 3.41
Os 0.0000 0.0000 0.5000  2 La 2.41
Os 0.0000 0.5000 0.0000  2 La 2.41
Os 0.5000 0.0000 0.0000  2 La 2.41

Results
size of the total moment: 0.000 μB/cell
V: 111.8 Å³ per cell
energy relative to the elements: 3.01 eV per atom
N(E_F): 6.27 states/eV per cell

=====

(5)
A plane-wave DFT calculation with SCAN was carried out for a PBEsol-optimized structure of LaHgOs2.

Lattice parameters (Å, degrees): 5.1567 5.1567 5.1567 131.50 131.50 71.02
Last column: nearest neighbours and their distance in Å.
Sites, in units of the cell vectors:
La 0.0000 0.0000 0.0000  4 Hg 2.98, 8 Os 2.98-3.00
Hg 0.2500 0.7500 0.5000  4 La 2.98, 8 Os 2.98-3.00
Os 0.5000 0.5000 0.0000  4 Hg 2.98, 4 Os 2.98, 4 La 3.00
Os 0.7500 0.2500 0.5000  4 La 2.98, 4 Os 2.98, 4 Hg 3.00

Results
size of the total moment: 0.000 μB/cell
V: 75.3 Å³ per cell
energy relative to the elements: 0.74 eV per atom
N(E_F): 4.23 states/eV per cell

=====

(6)
A plane-wave DFT calculation with SCAN was carried out for a PBEsol-optimized structure of LaHg3Os.

Lattice parameters (Å, degrees): 5.7232 5.7232 5.7232 90.00 90.00 90.00
Last column: nearest neighbours and their distance in Å.
Sites, in units of the cell vectors:
La 0.0000 0.0000 0.0000  6 Hg 2.86
Hg 0.0000 0.0000 0.5000  2 La 2.86
Hg 0.0000 0.5000 0.0000  2 La 2.86
Hg 0.5000 0.0000 0.0000  2 La 2.86
Os 0.5000 0.5000 0.5000  12 Hg 4.05

Results
size of the total moment: 1.776 μB/cell
V: 187.5 Å³ per cell
energy relative to the elements: 1.72 eV per atom
N(E_F): 4.88 states/eV per cell
distance to the lowest polymorph of the same formula: 1.516 eV per atom

=====

(7)
A plane-wave DFT calculation with SCAN was carried out for a PBEsol-optimized structure of La2Hg2Os.

Lattice parameters (Å, degrees): 5.7428 5.7428 5.7428 117.77 117.77 93.90
Last column: nearest neighbours and their distance in Å.
Sites, in units of the cell vectors:
La 0.2500 0.7500 0.5000  4 Hg 3.04
La 0.7500 0.2500 0.5000  4 Hg 3.04
Hg 0.1645 0.1645 0.0000  1 Hg 2.58, 1 Os 2.63
Hg 0.8355 0.8355 0.0000  1 Hg 2.58, 1 Os 2.63
Os 0.5000 0.5000 0.0000  2 Hg 2.63

Results
size of the total moment: 0.000 μB/cell
V: 138.1 Å³ per cell
energy relative to the elements: 0.19 eV per atom
N(E_F): 3.44 states/eV per cell

=====

(8)
A plane-wave DFT calculation with SCAN was carried out for a PBEsol-optimized structure of LaHgOs2.

Lattice parameters (Å, degrees): 4.2565 4.2565 4.1159 90.00 90.00 90.00
Last column: nearest neighbours and their distance in Å.
Sites, in units of the cell vectors:
La 0.0000 0.0000 0.0000  8 Os 2.96, 4 Hg 3.01
Hg 0.5000 0.5000 0.0000  8 Os 2.96, 4 La 3.01
Os 0.0000 0.5000 0.5000  4 Hg 2.96, 4 La 2.96, 4 Os 3.01
Os 0.5000 0.0000 0.5000  4 Hg 2.96, 4 La 2.96, 4 Os 3.01

Results
size of the total moment: 0.000 μB/cell
V: 74.6 Å³ per cell
energy relative to the elements: 0.64 eV per atom
N(E_F): 3.48 states/eV per cell

=====

(9)
A plane-wave DFT calculation with SCAN was carried out for a PBEsol-optimized structure of LaHg3Os.

Lattice parameters (Å, degrees): 5.1028 5.1028 5.1028 90.00 90.00 90.00
Last column: nearest neighbours and their distance in Å.
Sites, in units of the cell vectors:
La 0.0000 0.0000 0.0000  12 Hg 3.61
Hg 0.0000 0.5000 0.5000  2 Os 2.55
Hg 0.5000 0.0000 0.5000  2 Os 2.55
Hg 0.5000 0.5000 0.0000  2 Os 2.55
Os 0.5000 0.5000 0.5000  6 Hg 2.55

Results
size of the total moment: 0.659 μB/cell
V: 132.9 Å³ per cell
energy relative to the elements: 0.21 eV per atom
N(E_F): 2.61 states/eV per cell
distance to the lowest polymorph of the same formula: 0.000 eV per atom

=====

(10)
A plane-wave DFT calculation with SCAN was carried out for a PBEsol-optimized structure of LaHg2P.

Lattice parameters (Å, degrees): 4.2367 4.2367 5.4775 90.00 90.00 92.32
Last column: nearest neighbours and their distance in Å.
Sites, in units of the cell vectors:
La 0.0000 0.0000 0.0000  4 P 2.93-3.06, 4 Hg 3.19
Hg 0.2668 0.7332 0.5000  3 Hg 2.85-2.94, 2 P 3.09, 2 La 3.19
Hg 0.7332 0.2668 0.5000  3 Hg 2.85-2.94, 2 P 3.09, 2 La 3.19
P 0.5000 0.5000 0.0000  4 La 2.93-3.06, 4 Hg 3.09

Results
size of the total moment: 0.000 μB/cell
V: 98.2 Å³ per cell
energy relative to the elements: -0.68 eV per atom
N(E_F): 1.17 states/eV per cell

=====

(11)
A plane-wave DFT calculation with SCAN was carried out for a PBEsol-optimized structure of LaTc2HgP.

Lattice parameters (Å, degrees): 4.4527 4.4527 5.3086 90.00 90.00 90.00
Last column: nearest neighbours and their distance in Å.
Sites, in units of the cell vectors:
La 0.0000 0.0000 0.0000  2 P 2.65
Tc 0.0000 0.5000 0.5000  2 P 2.23
Tc 0.5000 0.0000 0.5000  2 P 2.23
Hg 0.5000 0.5000 0.0000  4 La 3.15, 8 Tc 3.46
P 0.0000 0.0000 0.5000  4 Tc 2.23

Results
size of the total moment: 2.002 μB/cell
V: 105.2 Å³ per cell
energy relative to the elements: 0.20 eV per atom
N(E_F): 3.61 states/eV per cell

=====

(12)
A plane-wave DFT calculation with SCAN was carried out for a PBEsol-optimized structure of La2HgPb.

Lattice parameters (Å, degrees): 6.2322 6.2322 6.2322 136.27 136.27 63.57
Last column: nearest neighbours and their distance in Å.
Sites, in units of the cell vectors:
La 0.0000 0.0000 0.0000  4 Pb 3.28, 4 Hg 3.52, 4 La 3.52
La 0.7500 0.2500 0.5000  4 Hg 3.28, 4 Pb 3.52, 4 La 3.52
Hg 0.2500 0.7500 0.5000  8 La 3.28-3.52, 4 Pb 3.52
Pb 0.5000 0.5000 0.0000  8 La 3.28-3.52, 4 Hg 3.52

Results
size of the total moment: 0.000 μB/cell
V: 114.2 Å³ per cell
energy relative to the elements: -0.70 eV per atom
N(E_F): 2.52 states/eV per cell

=====

(13)
A plane-wave DFT calculation with SCAN was carried out for a PBEsol-optimized structure of La2HgPb.

Lattice parameters (Å, degrees): 9.4990 9.4990 9.4990 24.45 24.45 24.45
Last column: nearest neighbours and their distance in Å.
Sites, in units of the cell vectors:
La 0.2479 0.2479 0.2479  3 Hg 3.23, 3 Pb 3.31
La 0.7521 0.7521 0.7521  3 Hg 3.23, 3 Pb 3.31
Hg 0.5000 0.5000 0.5000  6 La 3.23
Pb 0.0000 0.0000 0.0000  6 La 3.31

Results
size of the total moment: 0.000 μB/cell
V: 129.1 Å³ per cell
energy relative to the elements: -0.58 eV per atom
N(E_F): 4.06 states/eV per cell

=====

(14)
A plane-wave DFT calculation with SCAN was carried out for a PBEsol-optimized structure of LaHgPb3.

Lattice parameters (Å, degrees): 6.0396 6.0396 6.0396 90.00 90.00 90.00
Last column: nearest neighbours and their distance in Å.
Sites, in units of the cell vectors:
La 0.0000 0.0000 0.0000  6 Pb 3.02
Hg 0.5000 0.5000 0.5000  12 Pb 4.27
Pb 0.0000 0.0000 0.5000  2 La 3.02
Pb 0.0000 0.5000 0.0000  2 La 3.02
Pb 0.5000 0.0000 0.0000  2 La 3.02

Results
size of the total moment: 0.000 μB/cell
V: 220.3 Å³ per cell
energy relative to the elements: 0.48 eV per atom
N(E_F): 4.23 states/eV per cell

=====

(15)
A plane-wave DFT calculation with SCAN was carried out for a PBEsol-optimized structure of LaHg2Pb.

Lattice parameters (Å, degrees): 5.6758 5.6758 5.6758 130.14 130.14 73.18
Last column: nearest neighbours and their distance in Å.
Sites, in units of the cell vectors:
La 0.0000 0.0000 0.0000  8 Hg 3.30, 4 Pb 3.38
Hg 0.2500 0.7500 0.5000  4 La 3.30, 4 Pb 3.30, 4 Hg 3.38
Hg 0.7500 0.2500 0.5000  4 La 3.30, 4 Pb 3.30, 4 Hg 3.38
Pb 0.5000 0.5000 0.0000  8 Hg 3.30, 4 La 3.38

Results
size of the total moment: 0.000 μB/cell
V: 104.3 Å³ per cell
energy relative to the elements: -0.60 eV per atom
N(E_F): 1.37 states/eV per cell